SmNp2MnN4: relaxed, PBE.

Structure (extended XYZ):
```
16
Lattice="3.376 0.000 0.000 -1.688 5.713 0.000 0.000 0.000 11.298" Properties=species:S:1:pos:R:3 pbc="T T T"
Mn 0.000 1.825 2.825
Mn 1.688 3.888 8.474
N 0.000 0.000 0.000
N 0.000 5.045 8.474
N 1.688 2.626 9.985
N 1.688 2.626 6.962
N 0.000 0.000 5.649
N 0.000 3.087 4.336
N 1.688 0.669 2.825
N 0.000 3.087 1.313
Np 0.000 4.219 6.272
Np 1.688 1.494 0.623
Np 1.688 1.494 5.026
Np 0.000 4.219 10.675
Sm 0.000 1.195 8.474
Sm 1.688 4.519 2.825
```

Calculated values
**Total DFT energy (no corrections)**: -10.180 eV/atom
**Total moment**: 2.827 μB per formula unit
**ΔE_f (raw)**: -1.05 eV per atom